This record from the Alexandria database describes an optimized crystal structure of KBe2RhSe. The functional is GGA-PBE.

## Properties
**Energy relative to the elements, uncorrected**: 0.063 eV/atom

Geometry as CIF:
```
data_KBe2RhSe
_chemical_formula_sum 'K1 Be2 Rh1 Se1'
_symmetry_space_group_name_H-M 'P 4/m m m'
_symmetry_Int_Tables_number 123
_symmetry_space_group_name_Hall '-P 4 2'
_cell_length_a 4.410
_cell_length_b 4.410
_cell_length_c 5.050
_cell_angle_alpha 90.00
_cell_angle_beta 90.00
_cell_angle_gamma 90.00
loop_
_atom_site_label
_atom_site_type_symbol
_atom_site_fract_x
_atom_site_fract_y
_atom_site_fract_z
_atom_site_occupancy
K1 K 0.000 0.000 0.000 1
Be1 Be 0.000 0.500 0.500 1
Rh1 Rh 0.500 0.500 0.500 1
Se1 Se 0.500 0.500 0.000 1
```

=====

This record from the Alexandria database describes an optimized crystal structure of La2Rh2Au. The functional is GGA-PBE.

## Properties
**DFT formation energy**: -0.757 eV/atom
**Energy above the most stable polymorph in this dataset**: 10 meV per atom

Geometry as CIF:
```
data_La2Rh2Au
_chemical_formula_sum 'La4 Rh4 Au2'
_symmetry_space_group_name_H-M 'P 4/m b m'
_symmetry_Int_Tables_number 127
_symmetry_space_group_name_Hall '-P 4 2ab'
_cell_length_a 7.592
_cell_length_b 7.592
_cell_length_c 3.929
_cell_angle_alpha 90.00
_cell_angle_beta 90.00
_cell_angle_gamma 90.00
loop_
_atom_site_label
_atom_site_type_symbol
_atom_site_fract_x
_atom_site_fract_y
_atom_site_fract_z
_atom_site_occupancy
La1 La 0.174 0.326 0.000 1
Rh1 Rh 0.133 0.633 0.500 1
Au1 Au 0.000 0.000 0.500 1
```

=====

This record from the Alexandria database describes an optimized crystal structure of CsHg3Au. The functional is GGA-PBE.

## Properties
**DFT formation energy**: -0.210 eV/atom
**Energy above the most stable polymorph in this dataset**: 14 meV per atom

Geometry as CIF:
```
data_CsHg3Au
_chemical_formula_sum 'Cs2 Hg6 Au2'
_symmetry_space_group_name_H-M 'P 1'
_symmetry_Int_Tables_number 1
_cell_length_a 7.103
_cell_length_b 7.200
_cell_length_c 7.288
_cell_angle_alpha 88.22
_cell_angle_beta 63.13
_cell_angle_gamma 89.54
loop_
_symmetry_equiv_pos_as_xyz
'x,y,z'
loop_
_atom_site_label
_atom_site_type_symbol
_atom_site_fract_x
_atom_site_fract_y
_atom_site_fract_z
_atom_site_occupancy
Cs1 Cs 0.000 0.000 0.000 1
Cs2 Cs 0.454 0.510 0.485 1
Hg1 Hg 0.107 0.483 0.151 1
Hg2 Hg 0.281 0.031 0.373 1
Hg3 Hg 0.510 0.749 0.979 1
Hg4 Hg 0.529 0.264 0.955 1
Hg5 Hg 0.606 0.019 0.574 1
Hg6 Hg 0.930 0.719 0.546 1
Au1 Au 0.886 0.500 0.914 1
Au2 Au 0.922 0.297 0.561 1
```

=====

This record from the Alexandria database describes an optimized crystal structure of TmMgGa. The functional is GGA-PBE.

## Properties
**DFT formation energy**: -0.477 eV/atom
**Energy above the most stable polymorph in this dataset**: 0 meV per atom

Geometry as CIF:
```
data_TmMgGa
_chemical_formula_sum 'Tm3 Mg3 Ga3'
_symmetry_space_group_name_H-M 'P -6 2 m'
_symmetry_Int_Tables_number 189
_symmetry_space_group_name_Hall 'P -6 -2'
_cell_length_a 7.1951
_cell_length_b 7.1951
_cell_length_c 4.4065
_cell_angle_alpha 90.00
_cell_angle_beta 90.00
_cell_angle_gamma 120.00
loop_
_atom_site_label
_atom_site_type_symbol
_atom_site_fract_x
_atom_site_fract_y
_atom_site_fract_z
_atom_site_occupancy
Tm1 Tm 0.0000 0.5724 0.0000 1
Mg1 Mg 0.0000 0.2437 0.5000 1
Ga1 Ga 0.0000 0.0000 0.0000 1
Ga2 Ga 0.3333 0.6667 0.5000 1
```

=====

This record from the Alexandria database describes an optimized crystal structure of TeRh2I. The functional is GGA-PBE.

## Properties
**Energy relative to the elements, uncorrected**: 0.145 eV/atom
**Energy above the most stable polymorph in this dataset**: 0 meV per atom

Geometry as CIF:
```
data_TeRh2I
_chemical_formula_sum 'Te4 Rh8 I4'
_symmetry_space_group_name_H-M 'I -4 2 d'
_symmetry_Int_Tables_number 122
_symmetry_space_group_name_Hall 'I -4 2bw'
_cell_length_a 6.114
_cell_length_b 6.114
_cell_length_c 11.367
_cell_angle_alpha 90.00
_cell_angle_beta 90.00
_cell_angle_gamma 90.00
loop_
_atom_site_label
_atom_site_type_symbol
_atom_site_fract_x
_atom_site_fract_y
_atom_site_fract_z
_atom_site_occupancy
Te1 Te 0.000 0.000 0.000 1
Rh1 Rh 0.238 0.250 0.125 1
I1 I 0.000 0.000 0.500 1
```

=====

This record from the Alexandria database describes an optimized crystal structure of Be2Fe5Tc2W. The functional is GGA-PBE.

## Properties
**DFT formation energy**: 0.036 eV/atom

Geometry as CIF:
```
data_Be2Fe5Tc2W
_chemical_formula_sum 'Be4 Fe10 Tc4 W2'
_symmetry_space_group_name_H-M 'P 4/m b m'
_symmetry_Int_Tables_number 127
_symmetry_space_group_name_Hall '-P 4 2ab'
_cell_length_a 8.133
_cell_length_b 8.133
_cell_length_c 3.461
_cell_angle_alpha 90.00
_cell_angle_beta 90.00
_cell_angle_gamma 90.00
loop_
_atom_site_label
_atom_site_type_symbol
_atom_site_fract_x
_atom_site_fract_y
_atom_site_fract_z
_atom_site_occupancy
Be1 Be 0.121 0.379 0.000 1
Fe1 Fe 0.000 0.500 0.500 1
Fe2 Fe 0.065 0.212 0.500 1
Tc1 Tc 0.175 0.675 0.000 1
W1 W 0.000 0.000 0.000 1
```

=====

This record from the Alexandria database describes an optimized crystal structure of Dy2HPb. The functional is GGA-PBE.

## Properties
**Energy above the most stable polymorph in this dataset**: 0 meV per atom

Geometry as CIF:
```
data_Dy2HPb
_chemical_formula_sum 'Dy4 H2 Pb2'
_symmetry_space_group_name_H-M 'P 4/n m m'
_symmetry_Int_Tables_number 129
_cell_length_a 4.542
_cell_length_b 4.542
_cell_length_c 8.571
_cell_angle_alpha 90.00
_cell_angle_beta 90.00
_cell_angle_gamma 90.00
loop_
_symmetry_equiv_pos_as_xyz
'x,y,z'
'-x,-y,-z'
'-y+1/2,x,z'
'y+1/2,-x,-z'
'-x+1/2,-y+1/2,z'
'x+1/2,y+1/2,-z'
'y,-x+1/2,z'
'-y,x+1/2,-z'
'x+1/2,-y,-z'
'-x+1/2,y,z'
'-y,-x,-z'
'y,x,z'
'-x,y+1/2,-z'
'x,-y+1/2,z'
'y+1/2,x+1/2,-z'
'-y+1/2,-x+1/2,z'
loop_
_atom_site_label
_atom_site_type_symbol
_atom_site_fract_x
_atom_site_fract_y
_atom_site_fract_z
_atom_site_occupancy
Dy1 Dy 0.250 0.250 0.154 1
Dy2 Dy 0.250 0.750 0.500 1
H1 H 0.250 0.250 0.420 1
Pb1 Pb 0.250 0.250 0.785 1
```

=====

This record from the Alexandria database describes an optimized crystal structure of YCd2Hg3. The functional is GGA-PBE.

## Properties
**DFT formation energy**: -0.216 eV/atom
**Energy above the most stable polymorph in this dataset**: 14 meV per atom

Geometry as CIF:
```
data_YCd2Hg3
_chemical_formula_sum 'Y2 Cd4 Hg6'
_symmetry_space_group_name_H-M 'P m m n'
_symmetry_Int_Tables_number 59
_cell_length_a 4.722
_cell_length_b 13.822
_cell_length_c 4.422
_cell_angle_alpha 90.00
_cell_angle_beta 90.00
_cell_angle_gamma 90.00
loop_
_symmetry_equiv_pos_as_xyz
'x,y,z'
'-x,-y,-z'
'-x+1/2,-y+1/2,z'
'x+1/2,y+1/2,-z'
'x+1/2,-y,-z'
'-x+1/2,y,z'
'-x,y+1/2,-z'
'x,-y+1/2,z'
loop_
_atom_site_label
_atom_site_type_symbol
_atom_site_fract_x
_atom_site_fract_y
_atom_site_fract_z
_atom_site_occupancy
Y1 Y 0.250 0.250 0.001 1
Cd1 Cd 0.250 0.577 0.999 1
Hg1 Hg 0.250 0.086 0.501 1
Hg2 Hg 0.250 0.750 0.499 1
```

=====

This record from the Alexandria database describes an optimized crystal structure of Cs2Re2O7. The functional is GGA-PBE.

## Properties
**Energy relative to the elements, uncorrected**: -1.653 eV/atom

Geometry as CIF:
```
data_Cs2Re2O7
_chemical_formula_sum 'Cs4 Re4 O14'
_symmetry_space_group_name_H-M 'C 1 2/m 1'
_symmetry_Int_Tables_number 12
_cell_length_a 8.703
_cell_length_b 11.817
_cell_length_c 5.692
_cell_angle_alpha 90.00
_cell_angle_beta 97.59
_cell_angle_gamma 90.00
loop_
_symmetry_equiv_pos_as_xyz
'x,y,z'
'-x,-y,-z'
'-x,y,-z'
'x,-y,z'
'x+1/2,y+1/2,z'
'-x+1/2,-y+1/2,-z'
'-x+1/2,y+1/2,-z'
'x+1/2,-y+1/2,z'
loop_
_atom_site_label
_atom_site_type_symbol
_atom_site_fract_x
_atom_site_fract_y
_atom_site_fract_z
_atom_site_occupancy
Cs1 Cs 0.000 0.197 0.000 1
Re1 Re 0.205 0.500 0.434 1
O1 O 0.000 0.500 0.500 1
O2 O 0.153 0.000 0.313 1
O3 O 0.221 0.375 0.262 1
```

=====

This record from the Alexandria database describes an optimized crystal structure of Na2VCd. The functional is GGA-PBE.

## Properties
**DFT formation energy**: 0.707 eV/atom

Geometry as CIF:
```
data_Na2VCd
_chemical_formula_sum 'Na8 V4 Cd4'
_symmetry_space_group_name_H-M 'I -4 2 d'
_symmetry_Int_Tables_number 122
_symmetry_space_group_name_Hall 'I -4 2bw'
_cell_length_a 8.465
_cell_length_b 8.465
_cell_length_c 5.876
_cell_angle_alpha 90.00
_cell_angle_beta 90.00
_cell_angle_gamma 90.00
loop_
_atom_site_label
_atom_site_type_symbol
_atom_site_fract_x
_atom_site_fract_y
_atom_site_fract_z
_atom_site_occupancy
Na1 Na 0.239 0.250 0.125 1
V1 V 0.000 0.000 0.500 1
Cd1 Cd 0.000 0.000 0.000 1
```

=====

This record from the Alexandria database describes an optimized crystal structure of KPrHgPb. The functional is GGA-PBE.

## Properties
**DFT formation energy**: -0.283 eV/atom

Geometry as CIF:
```
data_KPrHgPb
_chemical_formula_sum 'K4 Pr4 Hg4 Pb4'
_symmetry_space_group_name_H-M 'F -4 3 m'
_symmetry_Int_Tables_number 216
_symmetry_space_group_name_Hall 'F -4 2 3'
_cell_length_a 7.998
_cell_length_b 7.998
_cell_length_c 7.998
_cell_angle_alpha 90.00
_cell_angle_beta 90.00
_cell_angle_gamma 90.00
loop_
_atom_site_label
_atom_site_type_symbol
_atom_site_fract_x
_atom_site_fract_y
_atom_site_fract_z
_atom_site_occupancy
K1 K 0.000 0.000 0.000 1
Pr1 Pr 0.000 0.000 0.500 1
Hg1 Hg 0.250 0.250 0.250 1
Pb1 Pb 0.250 0.250 0.750 1
```

=====

This record from the Alexandria database describes an optimized crystal structure of Pm5Tl4Sn. The functional is GGA-PBE.

## Properties
**DFT formation energy**: -0.444 eV/atom

Geometry as CIF:
```
data_Pm5Tl4Sn
_chemical_formula_sum 'Pm5 Tl4 Sn1'
_symmetry_space_group_name_H-M 'P 4/m m m'
_symmetry_Int_Tables_number 123
_symmetry_space_group_name_Hall '-P 4 2'
_cell_length_a 3.721
_cell_length_b 3.721
_cell_length_c 20.933
_cell_angle_alpha 90.00
_cell_angle_beta 90.00
_cell_angle_gamma 90.00
loop_
_atom_site_label
_atom_site_type_symbol
_atom_site_fract_x
_atom_site_fract_y
_atom_site_fract_z
_atom_site_occupancy
Pm1 Pm 0.000 0.000 0.000 1
Pm2 Pm 0.000 0.000 0.200 1
Pm3 Pm 0.000 0.000 0.402 1
Tl1 Tl 0.500 0.500 0.100 1
Tl2 Tl 0.500 0.500 0.299 1
Sn1 Sn 0.500 0.500 0.500 1
```

=====

Which total energy belongs to each record? In order, -19.1, -31.6, -6.1, -10.5, -18.8, -83.1, -18.5, -10.5, -79.5, -9.8, -11.0, -41.7 eV per formula unit.